The following is a DFT calculation (PBE-GGA) of a relaxed structure of Na5TlPb.

extended XYZ file:
```
14
Lattice="-0.514 1.539 -5.650 -1.331 -5.137 -2.530 -12.683 2.396 1.802" Properties=species:S:1:pos:R:3 pbc="T T T"
Na -11.731 2.072 -1.294
Na -6.387 -2.591 -4.570
Na -5.636 -1.136 -1.255
Na -10.077 2.920 -4.104
Na -2.045 -1.814 -1.771
Na -12.483 0.612 -4.607
Na -4.451 -4.122 -2.273
Na -8.892 -0.066 -5.123
Na -8.141 1.389 -1.807
Na -2.797 -3.274 -5.084
Tl -10.551 -0.949 -2.296
Tl -3.977 -0.253 -4.082
Pb 0.000 0.000 0.000
Pb -6.342 1.198 0.901
```

The value obtained for the energy is -1.88 eV per atom. Its crystal system is orthorhombic. The value obtained for the size of the total moment is 0.000 μB/atom. The space-group type is Cmcm.